No. 1
12
Lattice="3.9133 0.0000 0.0000 0.0000 7.2385 0.0315 -1.9566 -1.4306 10.0393" Properties=species:S:1:pos:R:3 comment="ScCu2Te3, PBEsol geometry, DFT meta-GGA SCAN" final_energy_ev_per_atom=-26.6710 vol_a3_per_atom=23.7 pbc="T T T"
Cu 0.0000 3.3537 5.8116
Cu 1.9566 4.8826 9.1359
Te 0.0000 5.6763 1.6156
Sc 0.0000 5.9063 7.0422
Sc 1.9566 -0.0984 3.0286
Cu 1.9566 2.4542 4.2592
Te 1.9566 4.9036 5.0141
Te 1.9566 0.1317 8.4552
Te 0.0000 3.3903 8.3742
Te 0.0000 0.9043 5.0568
Te 1.9566 2.4177 1.6967
Cu 0.0000 0.9253 0.9349

=====

No. 2
5
Lattice="-3.6914 1.3577 3.1877 -1.5325 -4.8172 0.2771 3.1074 -0.7629 3.9233" Properties=species:S:1:pos:R:3 comment="ScCuTe3, PBEsol geometry, DFT meta-GGA SCAN" final_energy_ev_per_atom=-28.1961 vol_a3_per_atom=26.0 pbc="T T T"
Te -1.8457 0.6788 1.5938
Te -0.7662 -2.4086 0.1385
Cu 0.0000 0.0000 0.0000
Te 1.5537 -0.3814 1.9617
Sc -1.0582 -2.1112 3.6940

=====

No. 3
4
Lattice="-3.5843 0.9101 -1.0113 -2.2295 -2.6073 -1.7118 -4.1646 -2.6258 5.1299" Properties=species:S:1:pos:R:3 comment="Sc2CuTe, PBEsol geometry, DFT meta-GGA SCAN" vol_a3_per_atom=21.5 de_polymorph_mev_per_atom=0.0 pbc="T T T"
Cu -4.9892 -2.1615 1.2034
Sc -2.5553 -1.1369 0.7662
Sc -7.4231 -3.1860 1.6406
Te 0.0000 0.0000 0.0000

=====

No. 4
4
Lattice="-3.0023 0.1280 -2.2929 -2.2455 -1.1318 2.8770 0.5404 5.8856 2.7370" Properties=species:S:1:pos:R:3 comment="ScCuTe2, PBEsol geometry, DFT meta-GGA SCAN" final_energy_ev_per_atom=-26.7445 vol_a3_per_atom=22.5 pbc="T T T"
Sc -2.1559 2.2411 -0.1674
Te -1.9562 2.7178 2.7134
Cu -2.3626 5.2303 3.3856
Te -0.3162 0.0763 0.4184

=====

No. 5
4
Lattice="-3.1511 2.6380 -1.4011 -0.0355 -2.0651 -3.8083 -1.2195 -2.8843 4.0396" Properties=species:S:1:pos:R:3 comment="Sc2CuTe, PBEsol geometry, DFT meta-GGA SCAN" vol_a3_per_atom=19.2 de_polymorph_mev_per_atom=109.1 pbc="T T T"
Sc -3.0001 -1.0129 -1.8870
Te -1.5756 1.3190 -0.7006
Cu -0.0177 -1.0326 -1.9042
Sc -1.4060 -1.2985 0.7173

=====

No. 6
3
Lattice="3.6382 0.0000 0.0000 0.0000 3.6382 0.0000 -1.8191 -1.8191 4.4292" Properties=species:S:1:pos:R:3 comment="ScCuTe, PBEsol geometry, DFT meta-GGA SCAN" final_energy_ev_per_atom=-22.6021 vol_a3_per_atom=19.5 pbc="T T T"
Sc 0.0000 0.0000 2.9598
Cu 1.8191 1.8191 4.4210
Te 1.8191 1.8191 1.4775

=====

No. 7
5
Lattice="-3.1286 -3.0865 0.8909 2.9770 -2.3181 2.4233 -1.2075 2.2822 3.6663" Properties=species:S:1:pos:R:3 comment="ScTiCu3, PBEsol geometry, DFT meta-GGA SCAN" vol_a3_per_atom=18.0 formation_energy_ev_per_atom=1.05 pbc="T T T"
Cu -0.6037 1.1411 1.8332
Cu -1.5643 -1.5433 0.4454
Sc 0.0000 0.0000 0.0000
Ti -0.6795 -1.5612 3.4903
Cu 1.4885 -1.1590 1.2117

=====

No. 8
3
Lattice="3.2355 0.0000 0.0000 0.0000 4.4885 0.0000 0.0000 -2.2443 3.8872" Properties=species:S:1:pos:R:3 comment="ScTlCu, PBEsol geometry, DFT meta-GGA SCAN" vol_a3_per_atom=18.8 formation_energy_ev_per_atom=-0.30 pbc="T T T"
Cu 1.6177 0.0000 0.0000
Tl 1.6177 2.2443 1.2957
Sc 0.0000 0.0000 2.5915